Record 1
Density functional theory data (SCAN) for Y2SiPb at its PBEsol-relaxed geometry.

Its space group is P4/mmm. The crystal system is tetragonal. As for the formation energy without anion corrections: -0.561 eV per atom.

a = 3.754 Å, b = 3.754 Å, c = 6.792 Å
α = 90.00°, β = 90.00°, γ = 90.00°
Fractional positions:
Pb 0.500 0.500 0.000
Si 0.500 0.500 0.500
Y 0.000 0.000 0.721
Y 0.000 0.000 0.279

Record 2
Density functional theory data (SCAN) for YSi2Pb at its PBEsol-relaxed geometry.

Its space group is P4mm. The crystal system is tetragonal. As for the formation energy without anion corrections: 0.014 eV per atom.

a = 3.606 Å, b = 3.606 Å, c = 6.439 Å
α = 90.00°, β = 90.00°, γ = 90.00°
Fractional positions:
Pb 0.500 0.500 0.784
Si 0.000 0.000 0.038
Si 0.500 0.500 0.211
Y 0.000 0.000 0.467

Record 3
Density functional theory data (SCAN) for Y2SiPb at its PBEsol-relaxed geometry.

Its space group is P4/mmm. The crystal system is tetragonal. As for the formation energy without anion corrections: -0.596 eV per atom.

a = 3.338 Å, b = 3.338 Å, c = 8.501 Å
α = 90.00°, β = 90.00°, γ = 90.00°
Fractional positions:
Pb 0.500 0.500 0.000
Si 0.500 0.500 0.500
Y 0.000 0.000 0.716
Y 0.000 0.000 0.284

Record 4
Density functional theory data (SCAN) for YSi2Pb at its PBEsol-relaxed geometry.

Its space group is P4/mmm. The crystal system is tetragonal. As for the formation energy without anion corrections: -0.064 eV per atom.

a = 3.848 Å, b = 3.848 Å, c = 6.061 Å
α = 90.00°, β = 90.00°, γ = 90.00°
Fractional positions:
Pb 0.500 0.500 0.500
Si 0.000 0.000 0.803
Si 0.000 0.000 0.197
Y 0.500 0.500 0.000